The following is a PBE-GGA calculation of a relaxed Nb2AsF crystal, from the Alexandria database.

The structure in CIF format:
```
data_Nb2AsF
_chemical_formula_sum 'Nb8 As4 F4'
_space_group_name_H-M_alt 'F m -3 m'
_space_group_IT_number 225
_space_group_name_Hall '-F 4 2 3'
_cell_length_a 6.2425
_cell_length_b 6.2425
_cell_length_c 6.2425
_cell_angle_alpha 90.00
_cell_angle_beta 90.00
_cell_angle_gamma 90.00
loop_
_atom_site_label
_atom_site_type_symbol
_atom_site_fract_x
_atom_site_fract_y
_atom_site_fract_z
Nb1 Nb 0.2500 0.2500 0.2500
As1 As 0.0000 0.0000 0.0000
F1 F 0.0000 0.0000 0.5000
```

Computed properties:
Formation energy (no corrections) (eV/atom): -0.677
Spin magnetization (μB per atom): 0.000
E (eV/atom): -7.342